Below is a geometry-optimized Ti4SbO structure, with properties calculated at the GGA-PBE level.

Cell: 7.3323 7.3323 5.4035 Å, 97.88 97.88 41.92°
Fractional coordinates of all 12 atoms:
1 Ti 0.0306 0.7515 0.6479
2 Ti 0.1906 0.3878 0.1744
3 Ti 0.2485 0.9694 0.8521
4 Ti 0.3878 0.1906 0.6744
5 Ti 0.6122 0.8094 0.3256
6 Ti 0.7515 0.0306 0.1479
7 Ti 0.8094 0.6122 0.8256
8 Ti 0.9694 0.2485 0.3521
9 Sb 0.3257 0.6743 0.2500
10 Sb 0.6743 0.3257 0.7500
11 O 0.0000 0.5000 0.5000
12 O 0.5000 0.0000 0.0000

Formation energy from raw total energies (eV/atom): -0.963
DFT total energy (eV for the cell shown): -92.9

=====

Below is a geometry-optimized CeUNiN3 structure, with properties calculated at the GGA-PBE level.

Cell: 7.0078 3.4322 7.1464 Å, 90.00 101.35 90.00°
Fractional coordinates of all 12 atoms:
1 Ce 0.2129 0.2500 0.1686
2 Ce 0.7871 0.7500 0.8314
3 U 0.1815 0.2500 0.6629
4 U 0.8185 0.7500 0.3371
5 Ni 0.4111 0.7500 0.9023
6 Ni 0.5889 0.2500 0.0977
7 N 0.1268 0.7500 0.8769
8 N 0.1324 0.7500 0.4259
9 N 0.4975 0.2500 0.7967
10 N 0.5025 0.7500 0.2033
11 N 0.8676 0.2500 0.5741
12 N 0.8732 0.2500 0.1231

Formation energy from raw total energies (eV/atom): -1.011
DFT total energy (eV for the cell shown): -108.1

=====

Below is a geometry-optimized ZrRe2Rh structure, with properties calculated at the GGA-PBE level.

Cell: 6.3980 6.3980 6.3980 Å, 90.00 90.00 90.00°
Fractional coordinates of all 16 atoms:
1 Zr 0.0000 0.0000 0.0000
2 Zr 0.0000 0.5000 0.5000
3 Zr 0.5000 0.0000 0.5000
4 Zr 0.5000 0.5000 0.0000
5 Re 0.2500 0.2500 0.2500
6 Re 0.2500 0.2500 0.7500
7 Re 0.2500 0.7500 0.2500
8 Re 0.2500 0.7500 0.7500
9 Re 0.7500 0.2500 0.2500
10 Re 0.7500 0.2500 0.7500
11 Re 0.7500 0.7500 0.2500
12 Re 0.7500 0.7500 0.7500
13 Rh 0.0000 0.0000 0.5000
14 Rh 0.0000 0.5000 0.0000
15 Rh 0.5000 0.0000 0.0000
16 Rh 0.5000 0.5000 0.5000

ΔH_f (0 K) (eV per formula unit): 1.1
Distance to the lowest polymorph of the same formula (eV per formula unit): 1.62
DFT total energy (eV for the cell shown): -158.7